VASP calculation (PBE+U) on an optimized crystal structure of Li2MnPO4F.

Geometry as POSCAR:
```
Li2MnPO4F
1.0
5.465 0.000 0.000
-0.479 5.452 0.000
-2.321 -2.525 6.680
Li Mn P O F
4 2 2 8 2
Direct
0.000 0.000 0.000
0.047 0.322 0.404
0.286 0.563 0.211
0.621 0.618 0.620
0.517 0.095 0.051
0.519 0.096 0.561
0.163 0.453 0.806
0.869 0.744 0.308
0.159 0.801 0.449
0.199 0.269 0.931
0.224 0.737 0.961
0.350 0.418 0.684
0.663 0.768 0.414
0.819 0.453 0.170
0.841 0.946 0.199
0.879 0.386 0.649
0.359 0.247 0.305
0.660 0.959 0.808
```

Results
Total moment = 0.56 μB/atom
Raw total energy = -6.62 eV per atom
Fermi-level density of states = 0.00 states/eV/cell